Entry 1:
Compound: Ac4BiTe3
Source: Alexandria via LeMat-Bulk
Functional: PBE
Structure: relaxed

abc: 6.7428 6.7428 6.7428
angles: 90.00 90.00 90.00
Closest atoms and distances in Å follow each position.
Fractional coordinates of all 8 atoms:
Ac (0.5000, 0.0000, 0.0000)  4 Te 3.37, 2 Bi 3.37
Ac (0.0000, 0.5000, 0.0000)  2 Bi 3.37, 4 Te 3.37
Ac (0.0000, 0.0000, 0.5000)  4 Te 3.37, 2 Bi 3.37
Ac (0.5000, 0.5000, 0.5000)  6 Te 3.37
Te (0.0000, 0.5000, 0.5000)  6 Ac 3.37
Te (0.5000, 0.0000, 0.5000)  6 Ac 3.37
Te (0.5000, 0.5000, 0.0000)  6 Ac 3.37
Bi (0.0000, 0.0000, 0.0000)  6 Ac 3.37

Summary:
Size of the total moment   0.000 μB/f.u.
Calculated volume   38.32 Å³/atom
Electronic total energy   -5.106 eV/atom
Uncorrected formation energy   -1.388 eV/atom



Entry 2:
Compound: Rb2NaNpSe4
Source: Alexandria via LeMat-Bulk
Functional: PBE
Structure: relaxed

abc: 4.3222 8.2396 7.5424
angles: 72.55 90.00 90.00
Closest atoms and distances in Å follow each position.
Fractional coordinates of all 8 atoms:
Rb (0.0000, 0.0000, 0.0000)  6 Se 3.55-3.69
Rb (0.5000, 0.0000, 0.5000)  6 Se 3.36-3.39
Na (0.5000, 0.5000, 0.0000)  6 Se 3.05-3.07
Np (0.0000, 0.5000, 0.5000)  6 Se 2.69-2.85
Se (0.0000, 0.6918, 0.7323)  1 Np 2.69
Se (0.0000, 0.3082, 0.2677)  1 Np 2.69
Se (0.5000, 0.6917, 0.2920)  2 Np 2.85, 1 Na 3.07
Se (0.5000, 0.3083, 0.7080)  2 Np 2.85, 1 Na 3.07

Summary:
Size of the total moment   2.000 μB/f.u.
Calculated volume   32.03 Å³/atom
Electronic total energy   -4.885 eV/atom
Uncorrected formation energy   -1.118 eV/atom



Entry 3:
Compound: HfTe2Cl
Source: Alexandria via LeMat-Bulk
Functional: PBE
Structure: relaxed

abc: 5.1386 5.1386 5.1386
angles: 60.00 60.00 60.00
Closest atoms and distances in Å follow each position.
Fractional coordinates of all 4 atoms:
Te (0.2500, 0.2500, 0.2500)  4 Hf 3.15, 4 Cl 3.15
Te (0.7500, 0.7500, 0.7500)  4 Hf 3.15, 4 Cl 3.15
Hf (0.5000, 0.5000, 0.5000)  8 Te 3.15
Cl (0.0000, 0.0000, 0.0000)  8 Te 3.15

Summary:
Size of the total moment   0.000 μB/f.u.
Calculated volume   23.99 Å³/atom
Electronic total energy   -4.830 eV/atom
Uncorrected formation energy   -0.309 eV/atom



Entry 4:
Compound: LaLu2Zr
Source: Alexandria via LeMat-Bulk
Functional: PBE
Structure: relaxed

abc: 3.9617 3.9617 7.5506
angles: 90.00 90.00 90.00
Closest atoms and distances in Å follow each position.
Fractional coordinates of all 4 atoms:
Lu (0.0000, 0.0000, 0.7844)  4 Zr 3.24, 1 Lu 3.26, 4 La 3.53
Lu (0.0000, 0.0000, 0.2156)  4 Zr 3.24, 1 Lu 3.26, 4 La 3.53
Zr (0.5000, 0.5000, 0.0000)  8 Lu 3.24
La (0.5000, 0.5000, 0.5000)  8 Lu 3.53, 2 Zr 3.78

Summary:
Energy relative to the elements   0.142 eV/atom
Size of the total moment   0.148 μB/f.u.
Calculated volume   29.63 Å³/atom
Electronic total energy   -5.488 eV/atom



Entry 5:
Compound: Tb5Zn2In
Source: Alexandria via LeMat-Bulk
Functional: PBE
Structure: relaxed

abc: 7.5695 7.5695 9.2652
angles: 114.11 114.11 90.00
Closest atoms and distances in Å follow each position.
Fractional coordinates of all 16 atoms:
Tb (0.5196, 0.6865, 0.7060)  3 Zn 3.13-3.18, 2 In 3.22
Tb (0.8135, 0.9804, 0.2940)  3 Zn 3.13-3.18, 2 In 3.22
Tb (0.0000, 0.0000, 0.0000)  4 Zn 3.01
Tb (0.5000, 0.5000, 0.0000)  4 Zn 3.01
Tb (0.1865, 0.0196, 0.7060)  3 Zn 3.13-3.18, 2 In 3.22
Tb (0.6865, 0.1865, 0.7060)  3 Zn 3.13-3.18, 2 In 3.22
Tb (0.0196, 0.5196, 0.7060)  3 Zn 3.13-3.18, 2 In 3.22
Tb (0.3135, 0.8135, 0.2940)  3 Zn 3.13-3.18, 2 In 3.22
Tb (0.9804, 0.4804, 0.2940)  3 Zn 3.13-3.18, 2 In 3.22
Tb (0.4804, 0.3135, 0.2940)  3 Zn 3.13-3.18, 2 In 3.22
Zn (0.1215, 0.3785, 0.0000)  1 Zn 2.60
Zn (0.6215, 0.1215, 0.0000)  1 Zn 2.60
Zn (0.3785, 0.8785, 0.0000)  1 Zn 2.60
Zn (0.8785, 0.6215, 0.0000)  1 Zn 2.60
In (0.7500, 0.7500, 0.5000)  8 Tb 3.22
In (0.2500, 0.2500, 0.5000)  8 Tb 3.22

Summary:
Energy relative to the elements   -0.274 eV/atom
Size of the total moment   0.000 μB/f.u.
Calculated volume   27.08 Å³/atom
Electronic total energy   -3.829 eV/atom



Entry 6:
Compound: K2Cd4Sn3Hg
Source: Alexandria via LeMat-Bulk
Functional: PBE
Structure: relaxed

abc: 4.9718 4.9718 12.2257
angles: 90.00 90.00 90.00
Closest atoms and distances in Å follow each position.
Fractional coordinates of all 10 atoms:
K (0.5000, 0.0000, 0.2471)  6 Sn 3.78-3.97, 8 Cd 3.80-3.91, 2 Hg 3.97
K (0.0000, 0.5000, 0.7529)  6 Sn 3.78-3.97, 8 Cd 3.80-3.91, 2 Hg 3.97
Cd (0.5000, 0.5000, 0.0000)  4 Sn 2.97
Cd (0.0000, 0.0000, 0.0000)  4 Sn 2.97
Cd (0.5000, 0.0000, 0.6347)  3 Sn 2.84-2.98, 2 Hg 2.98
Cd (0.0000, 0.5000, 0.3653)  3 Sn 2.84-2.98, 2 Hg 2.98
Sn (0.0000, 0.0000, 0.5000)  4 Cd 2.98
Sn (0.5000, 0.0000, 0.8671)  5 Cd 2.84-2.97
Sn (0.0000, 0.5000, 0.1329)  5 Cd 2.84-2.97
Hg (0.5000, 0.5000, 0.5000)  4 Cd 2.98

Summary:
Energy relative to the elements   -0.140 eV/atom
Size of the total moment   0.000 μB/f.u.
Calculated volume   30.22 Å³/atom
Electronic total energy   -1.956 eV/atom



What did the fourth record say?
Compound: LaLu2Zr
Source: Alexandria via LeMat-Bulk
Functional: PBE
Structure: relaxed

abc: 3.9617 3.9617 7.5506
angles: 90.00 90.00 90.00
Closest atoms and distances in Å follow each position.
Fractional coordinates of all 4 atoms:
Lu (0.0000, 0.0000, 0.7844)  4 Zr 3.24, 1 Lu 3.26, 4 La 3.53
Lu (0.0000, 0.0000, 0.2156)  4 Zr 3.24, 1 Lu 3.26, 4 La 3.53
Zr (0.5000, 0.5000, 0.0000)  8 Lu 3.24
La (0.5000, 0.5000, 0.5000)  8 Lu 3.53, 2 Zr 3.78

Summary:
Energy relative to the elements   0.142 eV/atom
Size of the total moment   0.148 μB/f.u.
Calculated volume   29.63 Å³/atom
Electronic total energy   -5.488 eV/atom



Copy entry 5 word for word.
Compound: Tb5Zn2In
Source: Alexandria via LeMat-Bulk
Functional: PBE
Structure: relaxed

abc: 7.5695 7.5695 9.2652
angles: 114.11 114.11 90.00
Closest atoms and distances in Å follow each position.
Fractional coordinates of all 16 atoms:
Tb (0.5196, 0.6865, 0.7060)  3 Zn 3.13-3.18, 2 In 3.22
Tb (0.8135, 0.9804, 0.2940)  3 Zn 3.13-3.18, 2 In 3.22
Tb (0.0000, 0.0000, 0.0000)  4 Zn 3.01
Tb (0.5000, 0.5000, 0.0000)  4 Zn 3.01
Tb (0.1865, 0.0196, 0.7060)  3 Zn 3.13-3.18, 2 In 3.22
Tb (0.6865, 0.1865, 0.7060)  3 Zn 3.13-3.18, 2 In 3.22
Tb (0.0196, 0.5196, 0.7060)  3 Zn 3.13-3.18, 2 In 3.22
Tb (0.3135, 0.8135, 0.2940)  3 Zn 3.13-3.18, 2 In 3.22
Tb (0.9804, 0.4804, 0.2940)  3 Zn 3.13-3.18, 2 In 3.22
Tb (0.4804, 0.3135, 0.2940)  3 Zn 3.13-3.18, 2 In 3.22
Zn (0.1215, 0.3785, 0.0000)  1 Zn 2.60
Zn (0.6215, 0.1215, 0.0000)  1 Zn 2.60
Zn (0.3785, 0.8785, 0.0000)  1 Zn 2.60
Zn (0.8785, 0.6215, 0.0000)  1 Zn 2.60
In (0.7500, 0.7500, 0.5000)  8 Tb 3.22
In (0.2500, 0.2500, 0.5000)  8 Tb 3.22

Summary:
Energy relative to the elements   -0.274 eV/atom
Size of the total moment   0.000 μB/f.u.
Calculated volume   27.08 Å³/atom
Electronic total energy   -3.829 eV/atom